1.
# GeBiPt2

A relaxed GeBiPt2 crystal (PBE, Alexandria via LeMat-Bulk).

Its density of states at the Fermi level is 4.110 states/eV per cell. As for the magnetic moment: 0.0 Bohr magnetons per cell. For the formation energy, the calculation gives -0.13 eV/atom. The crystal system is orthorhombic. The total energy comes out at -5.27 eV per atom. The volume comes out at 385.3 Å³ per cell. The excess energy over the best structure of this formula in the dataset comes out at 230 meV per atom.

It has space group Ama2 (No. 40), with a = 4.954 Å, b = 12.612 Å, c = 6.166 Å, α = 90.00°, β = 90.00° and γ = 90.00°. The asymmetric unit holds Ge at (0.000, 0.000, 0.000), Bi at (0.250, 0.185, 0.427), Pt at (0.250, 0.157, 0.870) and Pt at (0.250, 0.362, 0.706).



2.
# GeBi2Pt3

A relaxed GeBi2Pt3 crystal (PBE, Alexandria via LeMat-Bulk).

Its density of states at the Fermi level is 10.313 states/eV per cell. As for the magnetic moment: 0.0 Bohr magnetons per cell. For the formation energy, the calculation gives -0.33 eV/atom. The crystal system is orthorhombic. The total energy comes out at -5.41 eV per atom. The volume comes out at 512.1 Å³ per cell.

It has space group Cmcm (No. 63), with a = 12.176 Å, b = 7.471 Å, c = 5.629 Å, α = 90.00°, β = 90.00° and γ = 90.00°. The asymmetric unit holds Ge at (0.000, 0.202, 0.250), Bi at (0.179, 0.332, 0.750), Pt at (0.000, 0.500, 0.000) and Pt at (0.126, 0.000, 0.000).



3.
# Ge2BiPt2

A relaxed Ge2BiPt2 crystal (PBE, Alexandria via LeMat-Bulk).

Its density of states at the Fermi level is 4.948 states/eV per cell. As for the magnetic moment: 0.0 Bohr magnetons per cell. For the formation energy, the calculation gives -0.23 eV/atom. The crystal system is tetragonal. The total energy comes out at -5.27 eV per atom. The volume comes out at 198.0 Å³ per cell. The excess energy over the best structure of this formula in the dataset comes out at 0 meV per atom.

It has space group I4/mmm (No. 139), with a = 4.073 Å, b = 4.073 Å, c = 11.940 Å, α = 90.00°, β = 90.00° and γ = 90.00°. The asymmetric unit holds Ge at (0.000, 0.500, 0.250), Bi at (0.000, 0.000, 0.000) and Pt at (0.000, 0.000, 0.381).



4.
# GeBiPt2

A relaxed GeBiPt2 crystal (PBE, Alexandria via LeMat-Bulk).

Its density of states at the Fermi level is 13.882 states/eV per cell. As for the magnetic moment: 0.0 Bohr magnetons per cell. For the formation energy, the calculation gives -0.36 eV/atom. The crystal system is orthorhombic. The total energy comes out at -5.50 eV per atom. The volume comes out at 656.3 Å³ per cell. The excess energy over the best structure of this formula in the dataset comes out at 0 meV per atom.

It has space group Pbca (No. 61), with a = 5.564 Å, b = 16.524 Å, c = 7.138 Å, α = 90.00°, β = 90.00° and γ = 90.00°. The asymmetric unit holds Ge at (0.246, 0.060, 0.063), Bi at (0.247, 0.689, 0.594), Pt at (0.000, 0.044, 0.747) and Pt at (0.001, 0.662, 0.249).